1.
Pm2DyEr9 | PBE | relaxed

The structure in POSCAR format:
```
Pm2DyEr9
1.0
11.1707 0.0000 0.0000
-5.5854 9.6741 0.0000
0.0000 0.0000 3.4818
Pm Dy Er
2 1 9
Cartesian
0.0000 6.4494 0.0000
5.5854 3.2247 0.0000
0.0000 0.0000 0.0000
-2.7927 4.8371 0.0000
0.0000 3.3800 1.7409
-2.6582 7.9841 1.7409
2.9272 1.6900 1.7409
5.5854 0.0000 0.0000
2.7927 4.8371 0.0000
2.6582 7.9841 1.7409
8.2435 1.6900 1.7409
5.5854 6.2941 1.7409
```

- distance to the lowest polymorph of the same formula (meV/atom) = 44
- crystal system = hexagonal
- ΔE_f (meV/atom) = 68
- symmetry = P6/mmm, No. 191

***

2.
AcSi3Os3 | PBE | relaxed

The structure in POSCAR format:
```
AcSi3Os3
1.0
6.5945 0.0000 0.0000
0.0000 6.5945 0.0000
0.0000 0.0000 6.5945
Ac Si Os
2 6 6
Cartesian
0.0000 0.0000 0.0000
3.2972 3.2972 3.2972
0.0000 1.6486 3.2972
0.0000 4.9458 3.2972
1.6486 3.2972 0.0000
3.2972 0.0000 1.6486
3.2972 0.0000 4.9458
4.9458 3.2972 0.0000
0.0000 3.2972 1.6486
0.0000 3.2972 4.9458
1.6486 0.0000 3.2972
3.2972 1.6486 0.0000
3.2972 4.9458 0.0000
4.9458 0.0000 3.2972
```

- distance to the lowest polymorph of the same formula (meV/atom) = 0
- crystal system = cubic
- energy relative to the elements, uncorrected (eV/atom) = -0.109
- symmetry = Pm-3n, No. 223

***

3.
ZnPH2 | PBE | relaxed

The structure in POSCAR format:
```
ZnPH2
1.0
2.5226 0.0000 0.0000
0.0000 5.5120 0.0000
-1.2189 0.0000 3.8870
Zn P H
1 1 2
Cartesian
0.0000 0.0000 0.0000
-0.0020 2.7560 1.3232
-0.0008 1.7188 2.3431
-0.0008 3.7932 2.3431
```

- distance to the lowest polymorph of the same formula (meV/atom) = 154
- crystal system = monoclinic
- symmetry = Pm, No. 6

***

4.
ZnCrSbTe2 | PBE | relaxed

The structure in POSCAR format:
```
ZnCrSbTe2
1.0
5.2558 0.0000 0.0000
0.0000 5.2558 0.0000
0.0000 0.0000 5.0731
Zn Cr Sb Te
1 1 1 2
Cartesian
0.0000 0.0000 0.0000
2.6279 2.6279 2.5365
2.6279 2.6279 0.0000
0.0000 2.6279 2.5365
2.6279 0.0000 2.5365
```

- distance to the lowest polymorph of the same formula (meV/atom) = 0
- crystal system = tetragonal
- energy relative to the elements, uncorrected (eV/atom) = 0.442
- symmetry = P4/mmm, No. 123

***

5.
TaMnAl2 | PBE | relaxed

The structure in POSCAR format:
```
TaMnAl2
1.0
3.9131 0.0000 0.0000
0.0000 3.9131 0.0000
0.0000 0.0000 3.9743
Ta Mn Al
1 1 2
Cartesian
0.0000 0.0000 0.0000
1.9566 1.9566 0.0000
0.0000 1.9566 1.9872
1.9566 0.0000 1.9872
```

- distance to the lowest polymorph of the same formula (meV/atom) = 1
- crystal system = tetragonal
- ΔE_f (meV/atom) = -215
- symmetry = P4/mmm, No. 123

***

6.
PuRhAu | PBE | relaxed

The structure in POSCAR format:
```
PuRhAu
1.0
2.5959 -4.1514 0.0000
2.5959 4.1514 0.0000
0.0000 0.0000 5.5379
Pu Rh Au
2 2 2
Cartesian
2.5959 2.8557 4.1534
2.5959 -2.8557 1.3845
2.5959 2.5584 1.3845
2.5959 -2.5584 4.1534
2.5959 0.0000 0.0000
2.5959 0.0000 2.7689
```

- distance to the lowest polymorph of the same formula (meV/atom) = 6
- crystal system = orthorhombic
- ΔE_f (meV/atom) = -386
- symmetry = Cmcm, No. 63

***

7.
CsTlV2Cl | PBE | relaxed

The structure in POSCAR format:
```
CsTlV2Cl
1.0
5.6610 0.0000 0.0000
0.0000 5.6610 0.0000
0.0000 0.0000 7.3157
Cs Tl V Cl
1 1 2 1
Cartesian
0.0000 0.0000 0.0000
0.0000 0.0000 3.6579
0.0000 2.8305 0.0000
2.8305 0.0000 0.0000
2.8305 2.8305 3.6579
```

- crystal system = tetragonal
- energy relative to the elements, uncorrected (eV/atom) = 1.815
- symmetry = P4/mmm, No. 123

***

8.
NbHRh2 | PBE | relaxed

The structure in POSCAR format:
```
NbHRh2
1.0
-3.1309 3.1309 2.5557
3.1309 -3.1309 2.5557
3.1309 3.1309 -2.5557
Nb H Rh
2 2 4
Cartesian
0.0000 0.0000 0.0000
0.0000 3.1309 1.2779
3.1309 0.0000 1.2779
0.0000 0.0000 2.5557
1.5654 2.1685 -0.6389
4.0932 1.5654 0.6389
1.5654 0.9624 1.9168
-0.9624 1.5654 3.1947
```

- distance to the lowest polymorph of the same formula (meV/atom) = 0
- crystal system = tetragonal
- symmetry = I-42d, No. 122